Record 1
{"formula": "NdThC", "functional": "PBE", "state": "relaxed", "lattice": [[3.803, 0.000, 0.000], [0.000, 3.803, 0.000], [-0.010, 0.000, 10.356]], "species": ["Nd", "Nd", "Th", "Th", "C", "C"], "frac_coords": [[0.249, 0.250, 0.366], [0.751, 0.750, 0.634], [0.250, 0.250, 0.878], [0.750, 0.750, 0.122], [0.251, 0.250, 0.121], [0.749, 0.750, 0.879]], "dos_ef_per_ev_cell": 4.2, "density_kg_m3": 8611, "total_energy_ev_per_cell": -43.94, "m_tot_mub_per_atom": 0.000}

Record 2
{"formula": "K3Sb", "functional": "PBE", "state": "relaxed", "lattice": [[6.113, 0.000, 0.000], [0.000, 8.147, 0.000], [0.000, 0.000, 6.336]], "species": ["K", "K", "K", "K", "K", "K", "Sb", "Sb"], "frac_coords": [[0.250, 0.004, 0.203], [0.250, 0.496, 0.203], [0.250, 0.750, 0.649], [0.750, 0.250, 0.351], [0.750, 0.504, 0.797], [0.750, 0.996, 0.797], [0.250, 0.250, 0.714], [0.750, 0.750, 0.286]], "density_kg_m3": 2516, "formation_energy_uncorrected_ev_per_atom": -0.39, "m_tot_mub_per_atom": 0.000}

Record 3
{"formula": "AlZn2In", "functional": "PBE", "state": "relaxed", "lattice": [[4.286, -1.621, 0.000], [4.286, 1.621, 0.000], [-1.203, 0.000, 5.426]], "species": ["Al", "Zn", "Zn", "In"], "frac_coords": [[0.000, 0.000, 0.000], [0.257, 0.257, 0.791], [0.743, 0.743, 0.209], [0.500, 0.500, 0.500]], "dos_ef_per_ev_cell": 1.4, "density_kg_m3": 6003, "total_energy_ev_per_cell": -8.66, "m_tot_mub_per_atom": 0.000}

Record 4
{"formula": "TlOsW2", "functional": "PBE", "state": "relaxed", "lattice": [[-1.616, 2.246, 4.672], [1.616, -2.246, 4.672], [1.616, 2.246, -4.672]], "species": ["Tl", "Os", "W", "W"], "frac_coords": [[0.000, 0.000, 0.000], [0.500, 0.500, 0.000], [0.258, 0.758, 0.500], [0.742, 0.242, 0.500]], "dos_ef_per_ev_cell": 2.2, "density_kg_m3": 18663, "total_energy_ev_per_cell": -36.41, "m_tot_mub_per_atom": 0.000}

Record 5
{"formula": "CsInHg6", "functional": "PBE", "state": "relaxed", "lattice": [[5.176, 0.000, 0.000], [0.000, 5.176, 0.000], [0.000, 0.000, 9.915]], "species": ["Cs", "In", "Hg", "Hg", "Hg", "Hg", "Hg", "Hg"], "frac_coords": [[0.000, 0.000, 0.000], [0.000, 0.000, 0.500], [0.000, 0.500, 0.328], [0.000, 0.500, 0.672], [0.500, 0.000, 0.328], [0.500, 0.000, 0.672], [0.500, 0.500, 0.156], [0.500, 0.500, 0.844]], "dos_ef_per_ev_cell": 4.0, "density_kg_m3": 9072, "total_energy_ev_per_cell": -6.36, "m_tot_mub_per_atom": 0.000}

Record 6
{"formula": "SrLi3Tl4", "functional": "PBE", "state": "relaxed", "lattice": [[2.419, 1.397, 10.034], [-2.419, 1.397, 10.034], [0.000, -2.793, 10.034]], "species": ["Sr", "Li", "Li", "Li", "Tl", "Tl", "Tl", "Tl"], "frac_coords": [[0.000, 0.000, 0.000], [0.229, 0.229, 0.229], [0.500, 0.500, 0.500], [0.771, 0.771, 0.771], [0.125, 0.125, 0.125], [0.401, 0.401, 0.401], [0.599, 0.599, 0.599], [0.875, 0.875, 0.875]], "dos_ef_per_ev_cell": 2.7, "density_kg_m3": 7560, "total_energy_ev_per_cell": -18.98, "m_tot_mub_per_atom": 0.000}

Record 7
{"formula": "TmZnNi", "functional": "PBE", "state": "relaxed", "lattice": [[0.000, 3.081, 3.081], [3.081, 0.000, 3.081], [3.081, 3.081, 0.000]], "species": ["Tm", "Zn", "Ni"], "frac_coords": [[0.000, 0.000, 0.000], [0.500, 0.500, 0.500], [0.750, 0.750, 0.750]], "dos_ef_per_ev_cell": 1.5, "density_kg_m3": 8320, "total_energy_ev_per_cell": -12.39, "m_tot_mub_per_atom": 0.000}

Record 8
{"formula": "Ta3PdW", "functional": "PBE", "state": "relaxed", "lattice": [[4.752, 0.000, 0.000], [0.000, 4.752, 0.000], [0.000, 0.000, 4.752]], "species": ["Ta", "Ta", "Ta", "Pd", "W"], "frac_coords": [[0.000, 0.000, 0.500], [0.000, 0.500, 0.000], [0.500, 0.000, 0.000], [0.000, 0.000, 0.000], [0.500, 0.500, 0.500]], "dos_ef_per_ev_cell": 6.0, "density_kg_m3": 12892, "total_energy_ev_per_cell": -45.01, "m_tot_mub_per_atom": 0.000}

Record 9
{"formula": "CaNiBN", "functional": "PBE", "state": "relaxed", "lattice": [[3.524, 0.000, 0.000], [0.000, 3.524, 0.000], [0.000, 0.000, 7.658]], "species": ["Ca", "Ca", "Ni", "Ni", "B", "B", "N", "N"], "frac_coords": [[0.250, 0.250, 0.159], [0.750, 0.750, 0.841], [0.250, 0.750, 0.500], [0.750, 0.250, 0.500], [0.250, 0.250, 0.656], [0.750, 0.750, 0.344], [0.250, 0.250, 0.837], [0.750, 0.750, 0.163]], "dos_ef_per_ev_cell": 0.0, "density_kg_m3": 4317, "formation_energy_uncorrected_ev_per_atom": -0.88, "m_tot_mub_per_atom": 0.000}

Record 10
{"formula": "Cs2BrF7", "functional": "PBE", "state": "relaxed", "lattice": [[7.693, -3.377, 0.000], [7.693, 3.377, 0.000], [-7.562, 0.000, 7.833]], "species": ["Cs", "Cs", "Cs", "Cs", "Br", "Br", "F", "F", "F", "F", "F", "F", "F", "F", "F", "F", "F", "F", "F", "F"], "frac_coords": [[0.021, 0.667, 0.931], [0.333, 0.979, 0.569], [0.667, 0.021, 0.431], [0.979, 0.333, 0.069], [0.295, 0.705, 0.750], [0.705, 0.295, 0.250], [0.030, 0.120, 0.243], [0.120, 0.030, 0.743], [0.218, 0.604, 0.512], [0.229, 0.471, 0.686], [0.396, 0.782, 0.988], [0.413, 0.587, 0.250], [0.471, 0.229, 0.186], [0.529, 0.771, 0.814], [0.587, 0.413, 0.750], [0.604, 0.218, 0.012], [0.771, 0.529, 0.314], [0.782, 0.396, 0.488], [0.880, 0.970, 0.257], [0.970, 0.880, 0.757]], "dos_ef_per_ev_cell": 0.0, "density_kg_m3": 3906, "formation_energy_uncorrected_ev_per_atom": -1.72, "m_tot_mub_per_atom": 0.000}

Record 11
{"formula": "RbLiHfI6", "functional": "PBE", "state": "relaxed", "lattice": [[7.620, 0.000, 0.000], [-3.810, 6.599, 0.000], [0.000, 0.000, 16.474]], "species": ["Rb", "Rb", "Li", "Li", "Hf", "Hf", "I", "I", "I", "I", "I", "I", "I", "I", "I", "I", "I", "I"], "frac_coords": [[0.000, 0.000, 0.000], [0.000, 0.000, 0.500], [0.333, 0.667, 0.250], [0.667, 0.333, 0.750], [0.333, 0.667, 0.750], [0.667, 0.333, 0.250], [0.014, 0.375, 0.649], [0.014, 0.639, 0.851], [0.361, 0.375, 0.851], [0.361, 0.986, 0.649], [0.375, 0.014, 0.149], [0.375, 0.361, 0.351], [0.625, 0.639, 0.649], [0.625, 0.986, 0.851], [0.639, 0.014, 0.351], [0.639, 0.625, 0.149], [0.986, 0.361, 0.149], [0.986, 0.625, 0.351]], "dos_ef_per_ev_cell": 0.0, "density_kg_m3": 4138, "formation_energy_uncorrected_ev_per_atom": -1.10, "m_tot_mub_per_atom": 0.000}

Record 12
{"formula": "MgAg2W", "functional": "PBE", "state": "relaxed", "lattice": [[0.000, 3.270, 3.270], [3.270, 0.000, 3.270], [3.270, 3.270, 0.000]], "species": ["Mg", "Ag", "Ag", "W"], "frac_coords": [[0.000, 0.000, 0.000], [0.500, 0.500, 0.500], [0.750, 0.750, 0.750], [0.250, 0.250, 0.250]], "dos_ef_per_ev_cell": 4.2, "density_kg_m3": 10066, "total_energy_ev_per_cell": -17.18, "m_tot_mub_per_atom": 0.449}

Record 13
{"formula": "Li5TlGa", "functional": "PBE", "state": "relaxed", "lattice": [[4.793, -2.778, 0.000], [4.793, 2.778, 0.000], [-1.640, 0.000, 9.864]], "species": ["Li", "Li", "Li", "Li", "Li", "Li", "Li", "Li", "Li", "Li", "Tl", "Tl", "Ga", "Ga"], "frac_coords": [[0.144, 0.322, 0.681], [0.183, 0.817, 0.750], [0.288, 0.406, 0.961], [0.322, 0.144, 0.181], [0.406, 0.288, 0.461], [0.594, 0.712, 0.539], [0.678, 0.856, 0.819], [0.712, 0.594, 0.039], [0.817, 0.183, 0.250], [0.856, 0.678, 0.319], [0.330, 0.670, 0.250], [0.670, 0.330, 0.750], [0.000, 0.000, 0.000], [0.000, 0.000, 0.500]], "dos_ef_per_ev_cell": 5.0, "density_kg_m3": 3904, "total_energy_ev_per_cell": -31.84, "m_tot_mub_per_atom": 0.000}

Record 14
{"formula": "CdGe3F", "functional": "PBE", "state": "relaxed", "lattice": [[4.657, 0.000, 0.000], [0.000, 4.657, 0.000], [0.000, 0.000, 4.657]], "species": ["Cd", "Ge", "Ge", "Ge", "F"], "frac_coords": [[0.000, 0.000, 0.000], [0.000, 0.500, 0.500], [0.500, 0.000, 0.500], [0.500, 0.500, 0.000], [0.500, 0.500, 0.500]], "dos_ef_per_ev_cell": 2.1, "density_kg_m3": 5742, "formation_energy_uncorrected_ev_per_atom": -0.01, "m_tot_mub_per_atom": 0.000}